# PmGdTe | Alexandria | PBE-GGA | relaxed
data_PmGdTe
_symmetry_space_group_name_H-M 'P 1'
_symmetry_Int_Tables_number 1
_cell_length_a 3.943
_cell_length_b 3.943
_cell_length_c 6.507
_cell_angle_alpha 107.64
_cell_angle_beta 107.64
_cell_angle_gamma 90.00
loop_
_symmetry_equiv_pos_as_xyz
'x,y,z'
loop_
_atom_site_label
_atom_site_type_symbol
_atom_site_fract_x
_atom_site_fract_y
_atom_site_fract_z
Gd1 Gd 0.016 0.016 0.031
Te1 Te 0.664 0.664 0.327
Pm1 Pm 0.321 0.321 0.642
# Formation energy without anion corrections (meV/atom): -797
# E (eV for the cell shown): -24.4

---

# Pm2GdTe | Alexandria | PBE-GGA | relaxed
data_Pm2GdTe
_symmetry_space_group_name_H-M 'P 1'
_symmetry_Int_Tables_number 1
_cell_length_a 4.700
_cell_length_b 4.965
_cell_length_c 4.965
_cell_angle_alpha 90.00
_cell_angle_beta 90.00
_cell_angle_gamma 90.00
loop_
_symmetry_equiv_pos_as_xyz
'x,y,z'
loop_
_atom_site_label
_atom_site_type_symbol
_atom_site_fract_x
_atom_site_fract_y
_atom_site_fract_z
Pm1 Pm 0.000 0.000 0.500
Pm2 Pm 0.000 0.500 0.000
Te1 Te 0.500 0.500 0.500
Gd1 Gd 0.500 0.000 0.000
# Formation energy without anion corrections (meV/atom): -515
# E (eV for the cell shown): -28.8

---

# Pm2GdTe | Alexandria | PBE-GGA | relaxed
data_Pm2GdTe
_symmetry_space_group_name_H-M 'P 1'
_symmetry_Int_Tables_number 1
_cell_length_a 3.981
_cell_length_b 3.981
_cell_length_c 10.252
_cell_angle_alpha 78.81
_cell_angle_beta 78.81
_cell_angle_gamma 60.00
loop_
_symmetry_equiv_pos_as_xyz
'x,y,z'
loop_
_atom_site_label
_atom_site_type_symbol
_atom_site_fract_x
_atom_site_fract_y
_atom_site_fract_z
Pm1 Pm 0.262 0.262 0.214
Pm2 Pm 0.738 0.738 0.786
Te1 Te 0.000 0.000 0.000
Gd1 Gd 0.500 0.500 0.500
# Formation energy without anion corrections (meV/atom): -545
# E (eV for the cell shown): -28.9

---

# Pm2GdTe | Alexandria | PBE-GGA | relaxed
data_Pm2GdTe
_symmetry_space_group_name_H-M 'P 1'
_symmetry_Int_Tables_number 1
_cell_length_a 3.983
_cell_length_b 3.983
_cell_length_c 7.831
_cell_angle_alpha 90.00
_cell_angle_beta 90.00
_cell_angle_gamma 90.00
loop_
_symmetry_equiv_pos_as_xyz
'x,y,z'
loop_
_atom_site_label
_atom_site_type_symbol
_atom_site_fract_x
_atom_site_fract_y
_atom_site_fract_z
Te1 Te 0.500 0.500 0.000
Gd1 Gd 0.500 0.500 0.500
Pm1 Pm 0.000 0.000 0.223
Pm2 Pm 0.000 0.000 0.777
# Formation energy without anion corrections (meV/atom): -593
# E (eV for the cell shown): -29.1

---

# PmGdTe | Alexandria | PBE-GGA | relaxed
data_PmGdTe
_symmetry_space_group_name_H-M 'P 1'
_symmetry_Int_Tables_number 1
_cell_length_a 4.176
_cell_length_b 5.178
_cell_length_c 5.178
_cell_angle_alpha 120.00
_cell_angle_beta 90.00
_cell_angle_gamma 90.00
loop_
_symmetry_equiv_pos_as_xyz
'x,y,z'
loop_
_atom_site_label
_atom_site_type_symbol
_atom_site_fract_x
_atom_site_fract_y
_atom_site_fract_z
Pm1 Pm 0.746 0.667 0.333
Gd1 Gd 0.238 0.333 0.667
Te1 Te 0.016 0.000 0.000
# Formation energy without anion corrections (meV/atom): -527
# E (eV for the cell shown): -23.6

---

# PmGd2Th | Alexandria | PBE-GGA | relaxed
data_PmGd2Th
_symmetry_space_group_name_H-M 'P 1'
_symmetry_Int_Tables_number 1
_cell_length_a 3.584
_cell_length_b 3.584
_cell_length_c 10.226
_cell_angle_alpha 90.00
_cell_angle_beta 90.00
_cell_angle_gamma 90.00
loop_
_symmetry_equiv_pos_as_xyz
'x,y,z'
loop_
_atom_site_label
_atom_site_type_symbol
_atom_site_fract_x
_atom_site_fract_y
_atom_site_fract_z
Gd1 Gd 0.000 0.000 0.760
Gd2 Gd 0.000 0.000 0.240
Th1 Th 0.500 0.500 0.000
Pm1 Pm 0.500 0.500 0.500
# Formation energy from the elements (eV per atom): 0.03
# E (eV for the cell shown): -40.2

---

# PmGd2Th | Alexandria | PBE-GGA | relaxed
data_PmGd2Th
_symmetry_space_group_name_H-M 'P 1'
_symmetry_Int_Tables_number 1
_cell_length_a 5.096
_cell_length_b 5.069
_cell_length_c 5.069
_cell_angle_alpha 90.00
_cell_angle_beta 90.00
_cell_angle_gamma 90.00
loop_
_symmetry_equiv_pos_as_xyz
'x,y,z'
loop_
_atom_site_label
_atom_site_type_symbol
_atom_site_fract_x
_atom_site_fract_y
_atom_site_fract_z
Pm1 Pm 0.500 0.000 0.000
Th1 Th 0.500 0.500 0.500
Gd1 Gd 0.000 0.000 0.500
Gd2 Gd 0.000 0.500 0.000
# Formation energy from the elements (eV per atom): 0.05
# E (eV for the cell shown): -40.1

---

# PmGd2Th | Alexandria | PBE-GGA | relaxed
data_PmGd2Th
_symmetry_space_group_name_H-M 'P 1'
_symmetry_Int_Tables_number 1
_cell_length_a 5.729
_cell_length_b 5.729
_cell_length_c 5.729
_cell_angle_alpha 60.00
_cell_angle_beta 60.00
_cell_angle_gamma 60.00
loop_
_symmetry_equiv_pos_as_xyz
'x,y,z'
loop_
_atom_site_label
_atom_site_type_symbol
_atom_site_fract_x
_atom_site_fract_y
_atom_site_fract_z
Pm1 Pm 0.000 0.000 0.000
Gd1 Gd 0.250 0.250 0.250
Gd2 Gd 0.750 0.750 0.750
Th1 Th 0.500 0.500 0.500
# Formation energy from the elements (eV per atom): 0.16
# E (eV for the cell shown): -39.7

---

Q: Which value of E does entry 1 give?
A: -24.4 eV for the cell shown